(1)
First-principles (PBE-GGA) data for a relaxed structure of PmCrCoP2, as listed in the Alexandria database.

Lattice parameters (Å, degrees): 5.729 5.729 5.729 140.11 140.11 57.69
Element x y z (fractional)
Pm 0.000 0.000 0.000
Cr 0.750 0.250 0.500
Co 0.250 0.750 0.500
P 0.360 0.360 0.000
P 0.640 0.640 0.000

Properties
raw total energy	-7.360	eV per atom
energy relative to the elements	-0.90	eV per atom
mass density	6.886	Mg/m³
magnetic moment	0.0	μB per formula unit



(2)
First-principles (PBE-GGA) data for a relaxed structure of HoPdPb2O6, as listed in the Alexandria database.

Lattice parameters (Å, degrees): 5.777 5.903 10.064 90.00 125.01 90.00
Element x y z (fractional)
Ho 0.000 0.000 0.000
Ho 0.000 0.500 0.500
Pd 0.500 0.000 0.500
Pd 0.500 0.500 0.000
Pb 0.260 0.042 0.751
Pb 0.260 0.458 0.251
Pb 0.740 0.542 0.749
Pb 0.740 0.958 0.249
O 0.170 0.029 0.264
O 0.170 0.471 0.764
O 0.264 0.693 0.047
O 0.264 0.807 0.547
O 0.359 0.217 0.047
O 0.359 0.283 0.547
O 0.641 0.717 0.453
O 0.641 0.783 0.953
O 0.736 0.193 0.453
O 0.736 0.307 0.953
O 0.830 0.529 0.236
O 0.830 0.971 0.736

Properties
raw total energy	-6.099	eV per atom
mass density	9.235	Mg/m³
energy relative to the elements, uncorrected	-1.41	eV/atom
magnetic moment	0.0	μB per formula unit